{
  "formula": "Ac3InPd12",
  "functional": "PBE",
  "state": "optimized geometry",
  "cell": [[4.2837, 0.0000, 0.0000], [0.0000, 4.2837, 0.0000], [0.0000, 0.0000, 16.7436]],
  "species": ["Pd", "Pd", "Pd", "Pd", "Ac", "Ac", "In", "Pd", "Pd", "Pd", "Pd", "Pd", "Ac", "Pd", "Pd", "Pd"],
  "frac_coords": [[0.5000, 0.0000, 0.6295], [0.5000, 0.5000, 0.2403], [0.5000, 0.5000, 0.7597], [0.0000, 0.5000, 0.6295], [0.0000, 0.0000, 0.7602], [0.0000, 0.0000, 0.5000], [0.0000, 0.0000, 0.0000], [0.5000, 0.5000, 0.5000], [0.5000, 0.5000, 0.0000], [0.0000, 0.5000, 0.8899], [0.5000, 0.0000, 0.1101], [0.5000, 0.0000, 0.8899], [0.0000, 0.0000, 0.2398], [0.0000, 0.5000, 0.3705], [0.5000, 0.0000, 0.3705], [0.0000, 0.5000, 0.1101]],
  "magmom_total_mub_per_cell": 0.00,
  "spacegroup": "P4/mmm",
  "delta_e_f_ev_per_atom": -0.646,
  "n_ef_per_ev_fu": 9.73
}

{
  "formula": "Ac4In5Pd6",
  "functional": "PBE",
  "state": "optimized geometry",
  "cell": [[4.4115, 0.0000, 0.0000], [-2.2057, 10.7343, 0.0000], [0.0000, 0.0000, 16.4710]],
  "species": ["Pd", "Pd", "In", "In", "Pd", "Ac", "Pd", "In", "Pd", "In", "Pd", "In", "Pd", "Pd", "Ac", "Ac", "In", "Ac", "Ac", "Ac", "In", "In", "Pd", "Pd", "In", "Pd", "Ac", "In", "Ac", "Pd"],
  "frac_coords": [[0.4466, 0.8932, 0.8520], [0.5746, 0.1492, 0.6332], [0.6971, 0.3941, 0.1163], [0.3029, 0.6059, 0.6163], [0.4230, 0.8460, 0.4069], [0.9640, 0.9279, 0.2759], [0.1169, 0.2339, 0.1137], [0.3366, 0.6732, 0.2725], [0.8831, 0.7661, 0.6137], [0.6399, 0.2798, 0.4793], [0.7627, 0.5254, 0.2606], [0.6634, 0.3268, 0.7725], [0.2373, 0.4746, 0.7606], [0.5534, 0.1068, 0.3520], [0.9923, 0.9845, 0.0154], [0.8147, 0.6294, 0.4432], [0.1553, 0.3106, 0.6275], [0.1853, 0.3706, 0.9432], [0.0077, 0.0155, 0.5154], [0.8412, 0.6825, 0.8015], [0.4443, 0.8886, 0.6735], [0.5557, 0.1114, 0.1735], [0.5770, 0.1540, 0.9069], [0.2180, 0.4361, 0.4841], [0.3601, 0.7202, 0.9793], [0.7820, 0.5639, 0.9841], [0.1588, 0.3175, 0.3015], [0.8447, 0.6894, 0.1275], [0.0360, 0.0721, 0.7759], [0.4254, 0.8508, 0.1332]],
  "magmom_total_mub_per_cell": 0.00,
  "spacegroup": "Cmc2_1",
  "delta_e_f_ev_per_atom": -0.661,
  "n_ef_per_ev_fu": 8.83
}

{
  "formula": "Ac2InPd",
  "functional": "PBE",
  "state": "optimized geometry",
  "cell": [[3.7935, 0.0000, 0.0000], [1.8967, 3.2852, 0.0000], [1.8967, 1.0951, 10.9719]],
  "species": ["Ac", "Pd", "Ac", "In"],
  "frac_coords": [[0.9154, 0.9154, 0.2539], [0.0000, 0.0000, 0.0000], [0.0846, 0.0846, 0.7461], [0.5000, 0.5000, 0.5000]],
  "magmom_total_mub_per_cell": 0.00,
  "spacegroup": "R-3m",
  "delta_e_f_ev_per_atom": 0.015,
  "n_ef_per_ev_fu": 2.09
}

{
  "formula": "AcIn4Pd4",
  "functional": "PBE",
  "state": "optimized geometry",
  "cell": [[6.7009, 0.0000, 0.0000], [0.0000, 6.7009, 0.0000], [0.0000, 0.0000, 8.9850]],
  "species": ["In", "Pd", "Pd", "In", "Ac", "Pd", "Pd", "Pd", "Ac", "Pd", "In", "In", "Pd", "In", "In", "In", "In", "Pd"],
  "frac_coords": [[0.2631, 0.0000, 0.6074], [0.5000, 0.7871, 0.7992], [0.5000, 0.2129, 0.7992], [0.5000, 0.7631, 0.1074], [0.0000, 0.0000, 0.0000], [0.0000, 0.7129, 0.7008], [0.2871, 0.0000, 0.2992], [0.0000, 0.2871, 0.7008], [0.5000, 0.5000, 0.5000], [0.7129, 0.0000, 0.2992], [0.0000, 0.7369, 0.3926], [0.2369, 0.5000, 0.8926], [0.7871, 0.5000, 0.2008], [0.5000, 0.2369, 0.1074], [0.0000, 0.2631, 0.3926], [0.7631, 0.5000, 0.8926], [0.7369, 0.0000, 0.6074], [0.2129, 0.5000, 0.2008]],
  "e_above_lowest_polymorph_ev_per_atom": 0.000,
  "magmom_total_mub_per_cell": 0.00,
  "spacegroup": "P4_2/nmc",
  "delta_e_f_ev_per_atom": -0.542,
  "n_ef_per_ev_fu": 5.07
}

{
  "formula": "Ac3In7Pd2",
  "functional": "PBE",
  "state": "optimized geometry",
  "cell": [[4.7466, 0.0000, 0.0000], [0.0000, 4.8028, 0.0078], [0.0000, -2.3678, 14.6933]],
  "species": ["In", "Pd", "Ac", "In", "In", "Ac", "In", "Ac", "In", "Pd", "In", "In"],
  "frac_coords": [[0.5000, 0.9171, 0.8301], [0.5000, 0.6277, 0.2628], [0.5000, 0.5000, 0.0000], [0.5000, 0.0829, 0.1699], [0.0000, 0.0000, 0.0000], [0.0000, 0.1818, 0.3578], [0.0000, 0.4130, 0.8301], [0.0000, 0.8182, 0.6422], [0.5000, 0.7233, 0.4453], [0.5000, 0.3723, 0.7372], [0.0000, 0.5870, 0.1699], [0.5000, 0.2767, 0.5547]],
  "magmom_total_mub_per_cell": 0.00,
  "spacegroup": "P2/m",
  "delta_e_f_ev_per_atom": -0.526,
  "n_ef_per_ev_fu": 8.87
}

{
  "formula": "Ac3In9Pd2",
  "functional": "PBE",
  "state": "optimized geometry",
  "cell": [[4.6808, 0.0000, 1.2572], [1.8353, 8.6455, 2.5092], [0.0416, -0.0631, 9.1871]],
  "species": ["In", "In", "In", "In", "In", "Ac", "In", "Pd", "In", "In", "Ac", "Pd", "In", "Ac"],
  "frac_coords": [[0.3391, 0.0286, 0.2932], [0.3391, 0.2932, 0.0286], [0.0000, 0.5000, 0.5000], [0.8736, 0.8481, 0.4047], [0.6609, 0.9714, 0.7068], [0.6810, 0.3190, 0.3190], [0.1264, 0.1519, 0.5953], [0.5000, 0.7119, 0.2881], [0.8736, 0.4047, 0.8481], [0.6609, 0.7068, 0.9714], [0.0000, 0.0000, 0.0000], [0.5000, 0.2881, 0.7119], [0.1264, 0.5953, 0.1519], [0.3190, 0.6810, 0.6810]],
  "magmom_total_mub_per_cell": 0.00,
  "spacegroup": "Immm",
  "delta_e_f_ev_per_atom": -0.481,
  "n_ef_per_ev_fu": 5.56
}

{
  "formula": "Ac3In2Pd3",
  "functional": "PBE",
  "state": "optimized geometry",
  "cell": [[-3.9519, -1.4241, -1.3253], [2.2214, -4.1209, 5.1241], [-6.6691, 9.0457, 10.1658]],
  "species": ["In", "In", "Pd", "Ac", "Pd", "Pd", "Ac", "In", "Ac", "Pd", "Ac", "In", "Ac", "Ac", "Pd", "Pd"],
  "frac_coords": [[0.2235, 0.4469, 0.0777], [0.2235, 0.4469, 0.4223], [0.4014, 0.8029, 0.5407], [0.9314, 0.8628, 0.1133], [0.5986, 0.1971, 0.0407], [0.5986, 0.1971, 0.4593], [0.3462, 0.6924, 0.7500], [0.7765, 0.5531, 0.9223], [0.0686, 0.1372, 0.8867], [0.6758, 0.3516, 0.7500], [0.6538, 0.3076, 0.2500], [0.7765, 0.5531, 0.5777], [0.9314, 0.8628, 0.3867], [0.0686, 0.1372, 0.6133], [0.4014, 0.8029, 0.9593], [0.3242, 0.6484, 0.2500]],
  "magmom_total_mub_per_cell": 0.00,
  "spacegroup": "Cmcm",
  "delta_e_f_ev_per_atom": -0.722,
  "n_ef_per_ev_fu": 5.45
}

{
  "formula": "AcIn2Pd6",
  "functional": "PBE",
  "state": "optimized geometry",
  "cell": [[8.3696, 0.0000, 0.0000], [4.1848, 7.2483, 0.0000], [4.1848, 2.4161, 6.8337]],
  "species": ["Pd", "Pd", "Pd", "Pd", "Pd", "Pd", "In", "Ac", "Pd", "Pd", "In", "Pd", "In", "Pd", "Pd", "In", "Ac", "Pd"],
  "frac_coords": [[0.9898, 0.5102, 0.9898], [0.5102, 0.9898, 0.5102], [0.9898, 0.9898, 0.5102], [0.7398, 0.2602, 0.2602], [0.2602, 0.7398, 0.2602], [0.5102, 0.9898, 0.9898], [0.1250, 0.1250, 0.1250], [0.5000, 0.5000, 0.5000], [0.7398, 0.2602, 0.7398], [0.2602, 0.2602, 0.7398], [0.1250, 0.6250, 0.1250], [0.5102, 0.5102, 0.9898], [0.1250, 0.1250, 0.6250], [0.7398, 0.7398, 0.2602], [0.2602, 0.7398, 0.7398], [0.6250, 0.1250, 0.1250], [0.7500, 0.7500, 0.7500], [0.9898, 0.5102, 0.5102]],
  "magmom_total_mub_per_cell": 0.00,
  "spacegroup": "Fd-3m",
  "delta_e_f_ev_per_atom": -0.224,
  "n_ef_per_ev_fu": 2.45
}

{
  "formula": "Ac3In4Pd4",
  "functional": "PBE",
  "state": "optimized geometry",
  "cell": [[4.4146, 0.0000, 0.0000], [0.0000, 8.1457, 0.0000], [-2.2073, -4.0729, 7.6716]],
  "species": ["Pd", "In", "In", "Ac", "Ac", "Ac", "Pd", "In", "Pd", "In", "Pd"],
  "frac_coords": [[0.5000, 0.7993, 0.0000], [0.6747, 0.8690, 0.3494], [0.3253, 0.5196, 0.6506], [0.8798, 0.8798, 0.7596], [0.1202, 0.1202, 0.2404], [0.0000, 0.5000, 0.0000], [0.7780, 0.2780, 0.5560], [0.3253, 0.1310, 0.6506], [0.2220, 0.7220, 0.4440], [0.6747, 0.4804, 0.3494], [0.5000, 0.2007, 0.0000]],
  "magmom_total_mub_per_cell": 0.00,
  "spacegroup": "Immm",
  "delta_e_f_ev_per_atom": -0.733,
  "n_ef_per_ev_fu": 5.47
}

{
  "formula": "Ac3In7Pd4",
  "functional": "PBE",
  "state": "optimized geometry",
  "cell": [[-3.7845, 2.6051, -0.6337], [-6.0353, -3.2598, 5.6704], [-0.4620, 5.3493, 7.7777]],
  "species": ["In", "In", "In", "Pd", "Ac", "Pd", "In", "In", "Ac", "In", "Pd", "In", "Pd", "Ac"],
  "frac_coords": [[0.1604, 0.6076, 0.0716], [0.0000, 0.0000, 0.0000], [0.3203, 0.8342, 0.5252], [0.6613, 0.4515, 0.2260], [0.6914, 0.8162, 0.8010], [0.1190, 0.1043, 0.6578], [0.8396, 0.3924, 0.9284], [0.6797, 0.1658, 0.4748], [0.0000, 0.5000, 0.5000], [0.4944, 0.2246, 0.7865], [0.3387, 0.5485, 0.7740], [0.5056, 0.7754, 0.2135], [0.8810, 0.8957, 0.3422], [0.3086, 0.1838, 0.1990]],
  "magmom_total_mub_per_cell": 0.00,
  "spacegroup": "C2/m",
  "delta_e_f_ev_per_atom": -0.633,
  "n_ef_per_ev_fu": 6.96
}

{
  "formula": "AcInPd3",
  "functional": "PBE",
  "state": "optimized geometry",
  "cell": [[2.3176, -8.1728, 0.0000], [2.3176, 8.1728, 0.0000], [0.0000, 0.0000, 5.8892]],
  "species": ["Pd", "Ac", "Pd", "Pd", "Pd", "In", "Ac", "Pd", "Pd", "In"],
  "frac_coords": [[0.1497, 0.8503, 0.7500], [0.1123, 0.8877, 0.2500], [0.8503, 0.1497, 0.2500], [0.2963, 0.7037, 0.4931], [0.2963, 0.7037, 0.0069], [0.4445, 0.5555, 0.2500], [0.8877, 0.1123, 0.7500], [0.7037, 0.2963, 0.9931], [0.7037, 0.2963, 0.5069], [0.5555, 0.4445, 0.7500]],
  "e_above_lowest_polymorph_ev_per_atom": 0.013,
  "magmom_total_mub_per_cell": 0.00,
  "spacegroup": "Cmcm",
  "delta_e_f_ev_per_atom": -0.637,
  "n_ef_per_ev_fu": 3.47
}

{
  "formula": "Ac2InPd4",
  "functional": "PBE",
  "state": "optimized geometry",
  "cell": [[5.0121, 0.0000, 0.0000], [0.0000, 5.0121, 0.0000], [-2.5060, -2.5060, 7.6575]],
  "species": ["Pd", "Ac", "In", "Pd", "Pd", "Ac", "Pd"],
  "frac_coords": [[0.1736, 0.1736, 0.3472], [0.6386, 0.6386, 0.2771], [0.0000, 0.0000, 0.0000], [0.8264, 0.8264, 0.6528], [0.5000, 0.0000, 0.0000], [0.3614, 0.3614, 0.7229], [0.0000, 0.5000, 0.0000]],
  "e_above_lowest_polymorph_ev_per_atom": 0.330,
  "magmom_total_mub_per_cell": 0.00,
  "spacegroup": "I4/mmm",
  "delta_e_f_ev_per_atom": -0.395,
  "n_ef_per_ev_fu": 3.98
}

{
  "formula": "AcIn3Pd2",
  "functional": "PBE",
  "state": "optimized geometry",
  "cell": [[-0.3531, 3.3812, 3.0107], [-8.6690, -0.9864, -3.3337], [1.4261, -7.2201, 8.2759]],
  "species": ["Pd", "In", "Pd", "Pd", "In", "In", "Pd", "In", "In", "Ac", "Pd", "In", "In", "Pd", "Ac", "In", "In", "Ac"],
  "frac_coords": [[0.6366, 0.2733, 0.4514], [0.6729, 0.3457, 0.9623], [0.4762, 0.9524, 0.2165], [0.7988, 0.5977, 0.8707], [0.3712, 0.7424, 0.7997], [0.2155, 0.4311, 0.3904], [0.5238, 0.0476, 0.7835], [0.7845, 0.5689, 0.6096], [0.9578, 0.9157, 0.6502], [0.1586, 0.3172, 0.7056], [0.2012, 0.4023, 0.1293], [0.0422, 0.0843, 0.3498], [0.3271, 0.6543, 0.0377], [0.3634, 0.7267, 0.5486], [0.0000, 0.0000, 0.0000], [0.6288, 0.2576, 0.2003], [0.5000, 0.0000, 0.5000], [0.8414, 0.6828, 0.2944]],
  "e_above_lowest_polymorph_ev_per_atom": 0.000,
  "magmom_total_mub_per_cell": 0.00,
  "spacegroup": "C2/m",
  "delta_e_f_ev_per_atom": -0.597,
  "n_ef_per_ev_fu": 3.11
}

{
  "formula": "Ac3In3Pd8",
  "functional": "PBE",
  "state": "optimized geometry",
  "cell": [[4.6122, 0.0000, 0.0000], [2.3061, 8.4911, 0.3132], [2.3061, 2.6131, 8.0850]],
  "species": ["Pd", "Ac", "Pd", "Pd", "In", "In", "Pd", "Pd", "Pd", "Pd", "Ac", "Pd", "Ac", "In"],
  "frac_coords": [[0.3783, 0.3369, 0.9064], [0.5000, 0.5000, 0.5000], [0.8229, 0.8237, 0.5304], [0.6217, 0.0936, 0.6631], [0.5000, 0.0000, 0.0000], [0.0000, 0.7754, 0.2246], [0.6217, 0.6631, 0.0936], [0.1771, 0.4696, 0.1763], [0.3783, 0.9064, 0.3369], [0.8229, 0.5304, 0.8237], [0.7900, 0.2100, 0.2100], [0.1771, 0.1763, 0.4696], [0.2100, 0.7900, 0.7900], [0.0000, 0.2246, 0.7754]],
  "magmom_total_mub_per_cell": 0.00,
  "spacegroup": "Immm",
  "delta_e_f_ev_per_atom": -0.655,
  "n_ef_per_ev_fu": 6.18
}

{
  "formula": "Ac2InPd",
  "functional": "PBE",
  "state": "optimized geometry",
  "cell": [[-2.6010, 3.5385, 2.9323], [-5.3708, 2.0432, -7.2296], [-0.9739, -6.2396, 1.9109]],
  "species": ["Pd", "Ac", "Pd", "In", "Ac", "Ac", "Ac", "In"],
  "frac_coords": [[0.9990, 0.2500, 0.0000], [0.1723, 0.5861, 0.3447], [0.0010, 0.7500, 0.0000], [0.4991, 0.2500, 0.0000], [0.1724, 0.0861, 0.3447], [0.8276, 0.9139, 0.6553], [0.8277, 0.4139, 0.6553], [0.5009, 0.7500, 0.0000]],
  "magmom_total_mub_per_cell": 0.00,
  "spacegroup": "C2/c",
  "delta_e_f_ev_per_atom": -0.402,
  "n_ef_per_ev_fu": 3.30
}

{
  "formula": "Ac2In2Pd3",
  "functional": "PBE",
  "state": "optimized geometry",
  "cell": [[4.6188, 0.0000, 0.0000], [0.0000, 5.6342, 0.9805], [-2.3094, -0.5629, 7.0242]],
  "species": ["Pd", "In", "Pd", "Pd", "In", "Ac", "Ac"],
  "frac_coords": [[0.2719, 0.6388, 0.5438], [0.8927, 0.6221, 0.7854], [0.0000, 0.0000, 0.0000], [0.7281, 0.3612, 0.4562], [0.1073, 0.3779, 0.2146], [0.6392, 0.8752, 0.2784], [0.3608, 0.1248, 0.7216]],
  "e_above_lowest_polymorph_ev_per_atom": 0.056,
  "magmom_total_mub_per_cell": 0.00,
  "spacegroup": "C2/m",
  "delta_e_f_ev_per_atom": -0.689,
  "n_ef_per_ev_fu": 2.50
}

{
  "formula": "Ac6InPd2",
  "functional": "PBE",
  "state": "optimized geometry",
  "cell": [[-0.5710, 9.3875, 0.7183], [0.6437, -3.1758, -8.8581], [-7.8986, -3.8411, 3.4387]],
  "species": ["Ac", "Ac", "Ac", "Pd", "Ac", "Pd", "Ac", "Ac", "In", "Ac", "Ac", "Ac", "Ac", "Ac", "Ac", "Pd", "Pd", "In"],
  "frac_coords": [[0.6908, 0.0196, 0.3288], [0.1936, 0.7649, 0.9585], [0.3092, 0.6380, 0.3288], [0.5000, 0.6274, 0.1274], [0.4698, 0.2910, 0.1788], [0.5000, 0.3726, 0.8726], [0.6908, 0.3620, 0.6712], [0.8064, 0.7649, 0.5713], [0.0000, 0.0000, 0.0000], [0.1936, 0.2351, 0.4287], [0.5302, 0.7090, 0.8212], [0.3092, 0.9804, 0.6712], [0.1122, 0.2910, 0.8212], [0.8064, 0.2351, 0.0415], [0.8878, 0.7090, 0.1788], [0.6554, 0.0000, 0.6554], [0.3446, 0.0000, 0.3446], [0.0000, 0.5000, 0.5000]],
  "magmom_total_mub_per_cell": 0.00,
  "spacegroup": "Immm",
  "delta_e_f_ev_per_atom": -0.452,
  "n_ef_per_ev_fu": 8.78
}

{
  "formula": "AcIn5Pd2",
  "functional": "PBE",
  "state": "optimized geometry",
  "cell": [[-4.2546, 1.1210, 0.3908], [-2.7083, -3.4999, 5.5179], [-0.6300, 4.3902, 5.5101]],
  "species": ["In", "Pd", "Pd", "In", "In", "In", "In", "Ac"],
  "frac_coords": [[0.3476, 0.4611, 0.8437], [0.7470, 0.7530, 0.7530], [0.2530, 0.2470, 0.2470], [0.6524, 0.1563, 0.5389], [0.3476, 0.8437, 0.4611], [0.0000, 0.5000, 0.5000], [0.6524, 0.5389, 0.1563], [0.0000, 0.0000, 0.0000]],
  "magmom_total_mub_per_cell": 0.00,
  "spacegroup": "Immm",
  "delta_e_f_ev_per_atom": -0.490,
  "n_ef_per_ev_fu": 3.69
}

{
  "formula": "AcIn2Pd2",
  "functional": "PBE",
  "state": "optimized geometry",
  "cell": [[4.4167, 0.0000, 0.0000], [0.0000, 4.4167, 0.0000], [-2.2083, -2.2083, 6.1589]],
  "species": ["In", "Pd", "In", "Pd", "Ac"],
  "frac_coords": [[0.2500, 0.7500, 0.5000], [0.3889, 0.3889, 0.7779], [0.7500, 0.2500, 0.5000], [0.6111, 0.6111, 0.2221], [0.0000, 0.0000, 0.0000]],
  "magmom_total_mub_per_cell": 0.00,
  "spacegroup": "I4/mmm",
  "delta_e_f_ev_per_atom": -0.657,
  "n_ef_per_ev_fu": 3.73
}

{
  "formula": "Ac3InPd",
  "functional": "PBE",
  "state": "optimized geometry",
  "cell": [[-0.6426, -3.9589, 4.2611], [0.5917, -4.3093, -3.9144], [5.7862, 0.0010, 0.8735]],
  "species": ["Ac", "In", "Ac", "Ac", "Pd"],
  "frac_coords": [[0.0000, 0.0000, 0.5000], [0.5000, 0.5000, 0.5000], [0.0000, 0.5000, 0.0000], [0.5000, 0.0000, 0.0000], [0.0000, 0.0000, 0.0000]],
  "e_above_lowest_polymorph_ev_per_atom": 0.225,
  "magmom_total_mub_per_cell": 0.00,
  "spacegroup": "Pm-3m",
  "delta_e_f_ev_per_atom": -0.265,
  "n_ef_per_ev_fu": 7.38
}